a:
ErMn2Re after structural relaxation. Source: Alexandria, functional PBE.

a b c (Å): 2.9421 2.9421 9.1676
angles (deg): 80.77 80.77 60.00
With the nearest neighbours (Å) after each atom.
Positions (direct):
1 Mn 0.7398 0.7398 0.7806  3 Re 2.61
2 Mn 0.2602 0.2602 0.2194  3 Re 2.61
3 Re 0.0000 0.0000 0.0000  6 Mn 2.61
4 Er 0.5000 0.5000 0.5000  6 Er 2.94, 6 Mn 3.05

Summary:
Magnetization   5.39 μB per cell
Space group   R-3m, No. 166

b:
ErMn2Re after structural relaxation. Source: Alexandria, functional PBE.

a b c (Å): 9.1557 9.1583 5.6355
angles (deg): 90.00 90.00 90.00
With the nearest neighbours (Å) after each atom.
Positions (direct):
1 Re 0.0000 0.2500 0.1247  4 Mn 2.40
2 Re 0.5000 0.2500 0.3750  4 Mn 2.40
3 Re 0.5000 0.7500 0.6250  4 Mn 2.40
4 Re 0.0000 0.7500 0.8753  4 Mn 2.40
5 Mn 0.5000 0.5000 0.5000  2 Re 2.40
6 Mn 0.2500 0.2500 0.2498  2 Re 2.40
7 Mn 0.5000 0.0000 0.5000  2 Re 2.40
8 Mn 0.2500 0.7500 0.7502  2 Re 2.40
9 Mn 0.7500 0.7500 0.7502  2 Re 2.40
10 Mn 0.0000 0.0000 0.0000  2 Re 2.40
11 Mn 0.0000 0.5000 0.0000  2 Re 2.40
12 Mn 0.7500 0.2500 0.2498  2 Re 2.40
13 Er 0.0000 0.2500 0.6248  2 Re 2.82, 4 Mn 3.12
14 Er 0.5000 0.7500 0.1250  2 Re 2.82, 4 Mn 3.11-3.12
15 Er 0.5000 0.2500 0.8750  2 Re 2.82, 4 Mn 3.11-3.12
16 Er 0.0000 0.7500 0.3752  2 Re 2.82, 4 Mn 3.12

Summary:
Magnetization   28.43 μB per cell
Space group   I4_1/amd, No. 141

The data favor a; the next most stable structure lies 782 meV per atom above it.

a:
Er2MnS4 after structural relaxation. Source: Alexandria, functional PBE.

a b c (Å): 7.7898 7.7899 13.4934
angles (deg): 106.80 90.00 120.00
With the nearest neighbours (Å) after each atom.
Positions (direct):
1 S 0.1302 0.7603 0.3766  1 Mn 2.45, 3 Er 2.72
2 S 0.1266 0.7533 0.8802  1 Mn 2.45, 3 Er 2.72
3 S 0.1301 0.2464 0.3768  1 Mn 2.45, 3 Er 2.72
4 S 0.8698 0.2397 0.6234  1 Mn 2.45, 3 Er 2.72
5 S 0.3699 0.2397 0.1234  1 Mn 2.45, 3 Er 2.72
6 S 0.3836 0.7536 0.6232  1 Mn 2.45, 3 Er 2.72
7 S 0.6300 0.2464 0.8768  1 Mn 2.45, 3 Er 2.72
8 S 0.8699 0.7536 0.6232  1 Mn 2.45, 3 Er 2.72
9 S 0.8734 0.2467 0.1198  1 Mn 2.45, 3 Er 2.72
10 S 0.3700 0.7536 0.1232  1 Mn 2.45, 3 Er 2.72
11 S 0.1163 0.2464 0.8768  1 Mn 2.45, 3 Er 2.72
12 S 0.3733 0.2467 0.6198  1 Mn 2.45, 3 Er 2.72
13 S 0.8837 0.7536 0.1232  1 Mn 2.45, 3 Er 2.72
14 S 0.6267 0.7533 0.3802  1 Mn 2.45, 3 Er 2.72
15 S 0.6301 0.7603 0.8766  1 Mn 2.45, 3 Er 2.72
16 S 0.6164 0.2464 0.3768  1 Mn 2.45, 3 Er 2.72
17 Er 0.0000 0.0000 0.5000  6 S 2.72
18 Er 0.5000 0.5000 0.5000  6 S 2.72
19 Er 0.0000 0.5000 0.0000  6 S 2.72
20 Er 0.0000 0.0000 0.0000  6 S 2.72
21 Er 0.2501 0.0000 0.2500  6 S 2.72
22 Er 0.5000 0.0000 0.5000  6 S 2.72
23 Er 0.5000 0.0000 0.0000  6 S 2.72
24 Er 0.7499 0.0000 0.7500  6 S 2.72
25 Mn 0.0626 0.6252 0.6875  4 S 2.45
26 Mn 0.5626 0.6252 0.1875  4 S 2.45
27 Mn 0.9374 0.3748 0.3125  4 S 2.45
28 Mn 0.4374 0.3748 0.8125  4 S 2.45

Summary:
Magnetization   20.00 μB per cell
Space group   Fd-3m, No. 227

b:
Er2MnS4 after structural relaxation. Source: Alexandria, functional PBE.

a b c (Å): 6.4518 6.4518 12.7639
angles (deg): 90.00 90.00 146.12
With the nearest neighbours (Å) after each atom.
Positions (direct):
1 Mn 0.1250 0.8750 0.0542  6 S 2.52-2.64
2 Mn 0.8750 0.1250 0.5542  6 S 2.52-2.64
3 S 0.5144 0.4856 0.5060  2 Mn 2.62, 2 Er 2.68
4 S 0.7910 0.2090 0.3641  1 Mn 2.64, 4 Er 2.74-2.91
5 S 0.2090 0.7910 0.8641  1 Mn 2.64, 4 Er 2.74-2.91
6 S 0.7594 0.2406 0.1043  2 Mn 2.59, 3 Er 2.69-2.78
7 S 0.2406 0.7594 0.6043  2 Mn 2.59, 3 Er 2.69-2.78
8 S 0.0370 0.9630 0.2321  1 Mn 2.52, 3 Er 2.69-2.70
9 S 0.4856 0.5144 0.0060  2 Mn 2.62, 2 Er 2.68
10 S 0.9630 0.0370 0.7321  1 Mn 2.52, 3 Er 2.69-2.70
11 Er 0.6189 0.3811 0.7137  7 S 2.70-2.95
12 Er 0.8605 0.1395 0.9176  6 S 2.68-2.74
13 Er 0.1395 0.8605 0.4176  6 S 2.68-2.74
14 Er 0.3811 0.6189 0.2137  7 S 2.70-2.95

Summary:
Magnetization   10.00 μB per cell
Space group   Cmc2_1, No. 36

The data favor a; the next most stable structure lies 36 meV per atom above it.

a:
Sm2ErMn after structural relaxation. Source: Alexandria, functional PBE.

a b c (Å): 3.5881 3.5881 8.7215
angles (deg): 90.00 90.00 90.00
With the nearest neighbours (Å) after each atom.
Positions (direct):
1 Mn 0.5000 0.5000 0.0000  8 Sm 3.12
2 Sm 0.0000 0.0000 0.7909  4 Mn 3.12
3 Sm 0.0000 0.0000 0.2091  4 Mn 3.12
4 Er 0.5000 0.5000 0.5000  8 Sm 3.59, 4 Er 3.59

Summary:
Magnetization   3.96 μB per cell
Space group   P4/mmm, No. 123

b:
Sm2ErMn after structural relaxation. Source: Alexandria, functional PBE.

a b c (Å): 3.5198 3.5198 10.7674
angles (deg): 80.59 80.59 60.00
With the nearest neighbours (Å) after each atom.
Positions (direct):
1 Sm 0.7401 0.7401 0.7796  3 Mn 3.09
2 Sm 0.2599 0.2599 0.2204  3 Mn 3.09
3 Mn 0.0000 0.0000 0.0000  6 Sm 3.09
4 Er 0.5000 0.5000 0.5000  6 Er 3.52, 6 Sm 3.59

Summary:
Magnetization   3.64 μB per cell
Space group   R-3m, No. 166

The data favor a; the next most stable structure lies 105 meV per atom above it.

a:
TbErMn after structural relaxation. Source: Alexandria, functional PBE.

a b c (Å): 3.4711 3.4711 6.7725
angles (deg): 104.85 104.85 90.00
With the nearest neighbours (Å) after each atom.
Positions (direct):
1 Mn 0.6681 0.6681 0.3363  4 Er 2.98, 4 Tb 3.02
2 Tb 0.0293 0.0293 0.0586  4 Mn 3.02
3 Er 0.3026 0.3026 0.6052  4 Mn 2.98

Summary:
Magnetization   2.67 μB per cell
Space group   I4mm, No. 107

b:
TbErMn after structural relaxation. Source: Alexandria, functional PBE.

a b c (Å): 3.3915 5.3914 8.9942
angles (deg): 100.80 90.00 108.33
With the nearest neighbours (Å) after each atom.
Positions (direct):
1 Tb 0.3451 0.6903 0.3946  1 Mn 2.89
2 Tb 0.6549 0.3097 0.6054  1 Mn 2.89
3 Er 0.4183 0.8366 0.8199  4 Mn 2.86-3.05
4 Er 0.5817 0.1634 0.1801  4 Mn 2.86-3.05
5 Mn 0.2801 0.5602 0.0672  2 Mn 2.10
6 Mn 0.7199 0.4398 0.9328  2 Mn 2.10

Summary:
Magnetization   0.00 μB per cell
Space group   C2/m, No. 12

The data favor a; the next most stable structure lies 232 meV per atom above it.

a:
ErMnTc after structural relaxation. Source: Alexandria, functional PBE.

a b c (Å): 5.3785 5.3022 5.3022
angles (deg): 58.00 59.52 59.52
With the nearest neighbours (Å) after each atom.
Positions (direct):
1 Tc 0.5000 0.5000 0.0000  2 Tc 2.57, 4 Mn 2.65
2 Tc 0.5000 0.0000 0.5000  2 Tc 2.57, 4 Mn 2.65
3 Er 0.1271 0.6229 0.6229  6 Mn 3.05-3.15, 6 Tc 3.10-3.13, 4 Er 3.21-3.27
4 Er 0.8729 0.3771 0.3771  6 Mn 3.05-3.15, 6 Tc 3.10-3.13, 4 Er 3.21-3.27
5 Mn 0.5000 0.0000 0.0000  4 Tc 2.65, 2 Mn 2.69
6 Mn 0.0000 0.0000 0.0000  4 Tc 2.65, 2 Mn 2.69

Summary:
Magnetization   3.88 μB per cell
Space group   Imma, No. 74

b:
ErMnTc after structural relaxation. Source: Alexandria, functional PBE.

a b c (Å): 4.0132 4.6866 6.0071
angles (deg): 90.00 109.51 90.00
With the nearest neighbours (Å) after each atom.
Positions (direct):
1 Er 0.0893 0.7500 0.1787  4 Mn 2.83-2.86, 2 Er 3.10, 6 Tc 3.11-3.17
2 Er 0.9107 0.2500 0.8213  4 Mn 2.83-2.86, 2 Er 3.10, 6 Tc 3.11-3.17
3 Tc 0.3732 0.7500 0.7464  2 Mn 2.35
4 Tc 0.6268 0.2500 0.2536  2 Mn 2.35
5 Mn 0.2346 0.2500 0.4693  2 Tc 2.35
6 Mn 0.7654 0.7500 0.5307  2 Tc 2.35

Summary:
Magnetization   2.85 μB per cell
Space group   Cmcm, No. 63

The data favor a; the next most stable structure lies 284 meV per atom above it.

a:
Er2TmMn after structural relaxation. Source: Alexandria, functional PBE.

a b c (Å): 3.3561 3.3561 11.3247
angles (deg): 81.48 81.48 60.00
With the nearest neighbours (Å) after each atom.
Positions (direct):
1 Mn 0.0000 0.0000 0.0000  2 Er 2.75
2 Er 0.9178 0.9178 0.2466  1 Mn 2.75
3 Er 0.0822 0.0822 0.7534  1 Mn 2.75
4 Tm 0.5000 0.5000 0.5000  6 Tm 3.36, 6 Er 3.43

Summary:
Magnetization   3.12 μB per cell
Space group   R-3m, No. 166

b:
Er2TmMn after structural relaxation. Source: Alexandria, functional PBE.

a b c (Å): 4.5126 4.7939 4.7939
angles (deg): 90.00 90.00 90.00
With the nearest neighbours (Å) after each atom.
Positions (direct):
1 Er 0.0000 0.0000 0.5000  4 Mn 3.29, 4 Tm 3.29, 4 Er 3.39
2 Er 0.0000 0.5000 0.0000  4 Mn 3.29, 4 Tm 3.29, 4 Er 3.39
3 Tm 0.5000 0.0000 0.0000  8 Er 3.29, 4 Mn 3.39
4 Mn 0.5000 0.5000 0.5000  8 Er 3.29, 4 Tm 3.39

Summary:
Magnetization   2.92 μB per cell
Space group   P4/mmm, No. 123

The data favor b; the next most stable structure lies 290 meV per atom above it.

a:
ErTm2Mn after structural relaxation. Source: Alexandria, functional PBE.

a b c (Å): 3.4786 3.4786 8.5154
angles (deg): 90.00 90.00 90.00
With the nearest neighbours (Å) after each atom.
Positions (direct):
1 Tm 0.0000 0.0000 0.7992  4 Mn 3.00
2 Tm 0.0000 0.0000 0.2008  4 Mn 3.00
3 Er 0.5000 0.5000 0.5000  4 Er 3.48, 8 Tm 3.54
4 Mn 0.5000 0.5000 0.0000  8 Tm 3.00

Summary:
Magnetization   3.52 μB per cell
Space group   P4/mmm, No. 123

b:
ErTm2Mn after structural relaxation. Source: Alexandria, functional PBE.

a b c (Å): 3.3520 3.3520 11.2994
angles (deg): 81.47 81.47 60.00
With the nearest neighbours (Å) after each atom.
Positions (direct):
1 Er 0.5000 0.5000 0.5000  6 Er 3.35, 6 Tm 3.42
2 Mn 0.0000 0.0000 0.0000  2 Tm 2.74
3 Tm 0.0821 0.0821 0.7536  1 Mn 2.74
4 Tm 0.9179 0.9179 0.2464  1 Mn 2.74

Summary:
Magnetization   3.11 μB per cell
Space group   R-3m, No. 166

The data favor a; the next most stable structure lies 395 meV per atom above it.

a:
YEr2Mn after structural relaxation. Source: Alexandria, functional PBE.

a b c (Å): 3.3862 3.3862 11.3981
angles (deg): 81.46 81.46 60.00
With the nearest neighbours (Å) after each atom.
Positions (direct):
1 Er 0.9185 0.9185 0.2444  1 Mn 2.74
2 Er 0.0815 0.0815 0.7556  1 Mn 2.74
3 Mn 0.0000 0.0000 0.0000  2 Er 2.74
4 Y 0.5000 0.5000 0.5000  6 Y 3.39, 6 Er 3.47

Summary:
Magnetization   3.10 μB per cell
Space group   R-3m, No. 166

b:
YEr2Mn after structural relaxation. Source: Alexandria, functional PBE.

a b c (Å): 3.5135 3.5135 8.5959
angles (deg): 90.00 90.00 90.00
With the nearest neighbours (Å) after each atom.
Positions (direct):
1 Mn 0.5000 0.5000 0.0000  8 Er 3.01
2 Er 0.0000 0.0000 0.8019  4 Mn 3.01
3 Er 0.0000 0.0000 0.1981  4 Mn 3.01
4 Y 0.5000 0.5000 0.5000  4 Y 3.51, 8 Er 3.59

Summary:
Magnetization   3.57 μB per cell
Space group   P4/mmm, No. 123

The data favor b; the next most stable structure lies 410 meV per atom above it.